Entry from Alexandria: an optimized crystal structure of Sc4CdPt2 (PBE).

Structure (CIF):
```
data_Sc4CdPt2
_cell_length_a 4.4051
_cell_length_b 4.4051
_cell_length_c 28.7042
_cell_angle_alpha 90.00
_cell_angle_beta 90.00
_cell_angle_gamma 120.00
_space_group_name_H-M_alt 'R -3 m'
_space_group_IT_number 166
_space_group_name_Hall '-R 3 2"'
loop_
_atom_site_label
_atom_site_fract_x
_atom_site_fract_y
_atom_site_fract_z
_atom_site_occupancy
Sc1 0.0000 0.0000 0.1057 1
Sc2 0.0000 0.0000 0.3006 1
Cd1 0.0000 0.0000 0.5000 1
Pt1 0.0000 0.0000 0.3996 1
```

Calculated values
- Crystal system: trigonal
- Energy above the lowest structure with this stoichiometry: 101 meV/atom

Entry from Alexandria: an optimized crystal structure of Sc2Cd2Pt (PBE).

Structure (CIF):
```
data_Sc2Cd2Pt
_cell_length_a 3.284
_cell_length_b 3.284
_cell_length_c 19.021
_cell_angle_alpha 90.00
_cell_angle_beta 90.00
_cell_angle_gamma 90.00
_space_group_name_H-M_alt 'I 4/m m m'
_space_group_IT_number 139
_space_group_name_Hall '-I 4 2'
loop_
_atom_site_label
_atom_site_fract_x
_atom_site_fract_y
_atom_site_fract_z
_atom_site_occupancy
Sc1 0.000 0.000 0.086 1
Cd1 0.000 0.000 0.303 1
Pt1 0.000 0.000 0.500 1
```

Calculated values
- Crystal system: tetragonal
- Energy above the lowest structure with this stoichiometry: 0 meV/atom

Entry from Alexandria: an optimized crystal structure of ScCdPt2 (PBE).

Structure (CIF):
```
data_ScCdPt2
_cell_length_a 3.475
_cell_length_b 3.763
_cell_length_c 5.585
_cell_angle_alpha 90.00
_cell_angle_beta 90.00
_cell_angle_gamma 90.00
_space_group_name_H-M_alt 'P m m 2'
_space_group_IT_number 25
loop_
_space_group_symop_operation_xyz
'x,y,z'
'-x,-y,z'
'-x,y,z'
'x,-y,z'
loop_
_atom_site_label
_atom_site_fract_x
_atom_site_fract_y
_atom_site_fract_z
_atom_site_occupancy
Sc1 0.000 0.000 0.000 1
Cd1 0.500 0.500 0.311 1
Pt1 0.000 0.000 0.516 1
Pt2 0.500 0.500 0.808 1
```

Calculated values
- Crystal system: orthorhombic

Entry from Alexandria: an optimized crystal structure of ScCdPt2 (PBE).

Structure (CIF):
```
data_ScCdPt2
_cell_length_a 3.1165
_cell_length_b 3.1165
_cell_length_c 26.2412
_cell_angle_alpha 90.00
_cell_angle_beta 90.00
_cell_angle_gamma 120.00
_space_group_name_H-M_alt 'R -3 m'
_space_group_IT_number 166
_space_group_name_Hall '-R 3 2"'
loop_
_atom_site_label
_atom_site_fract_x
_atom_site_fract_y
_atom_site_fract_z
_atom_site_occupancy
Sc1 0.0000 0.0000 0.0000 1
Cd1 0.0000 0.0000 0.5000 1
Pt1 0.0000 0.0000 0.2557 1
```

Calculated values
- Crystal system: trigonal

Entry from Alexandria: an optimized crystal structure of ScCdSnPt (PBE).

Structure (CIF):
```
data_ScCdSnPt
_cell_length_a 6.831
_cell_length_b 6.831
_cell_length_c 6.831
_cell_angle_alpha 90.00
_cell_angle_beta 90.00
_cell_angle_gamma 90.00
_space_group_name_H-M_alt 'F -4 3 m'
_space_group_IT_number 216
_space_group_name_Hall 'F -4 2 3'
loop_
_atom_site_label
_atom_site_fract_x
_atom_site_fract_y
_atom_site_fract_z
_atom_site_occupancy
Sc1 0.000 0.000 0.000 1
Cd1 0.250 0.250 0.250 1
Sn1 0.000 0.000 0.500 1
Pt1 0.250 0.250 0.750 1
```

Calculated values
- Crystal system: cubic

Entry from Alexandria: an optimized crystal structure of TbScCdPt (PBE).

Structure (CIF):
```
data_TbScCdPt
_cell_length_a 7.035
_cell_length_b 7.035
_cell_length_c 7.035
_cell_angle_alpha 90.00
_cell_angle_beta 90.00
_cell_angle_gamma 90.00
_space_group_name_H-M_alt 'F -4 3 m'
_space_group_IT_number 216
_space_group_name_Hall 'F -4 2 3'
loop_
_atom_site_label
_atom_site_fract_x
_atom_site_fract_y
_atom_site_fract_z
_atom_site_occupancy
Tb1 0.000 0.000 0.000 1
Sc1 0.000 0.000 0.500 1
Cd1 0.250 0.250 0.250 1
Pt1 0.250 0.250 0.750 1
```

Calculated values
- Crystal system: cubic

Calculated energy of formation from the pure elements in order - -0.692; -0.631; -0.680; -0.556; -0.512; -0.693 eV/atom